Model A:
This record from Alexandria describes crystalline KHfAs2Se at its relaxed geometry. The functional is PBE-GGA.

Unit cell a=5.221 b=5.221 c=5.283 alpha=90.00 beta=90.00 gamma=90.00
Sites, in units of the cell vectors:
As 0.500 0.000 0.000
As 0.000 0.500 0.000
Hf 0.000 0.000 0.000
K 0.500 0.500 0.500
Se 0.000 0.000 0.500

## Properties
- magnetization (μB/f.u.) = 0.000

---

Model B:
This record from Alexandria describes crystalline KHfAs2Se at its relaxed geometry. The functional is PBE-GGA.

Unit cell a=5.097 b=5.305 c=5.097 alpha=90.00 beta=90.00 gamma=90.00
Sites, in units of the cell vectors:
K 0.000 0.000 0.000
As 0.000 0.000 0.500
As 0.500 0.000 0.000
Se 0.000 0.500 0.000
Hf 0.500 0.500 0.500

## Properties
- magnetization (μB/f.u.) = 0.000

---

Short version: model A is the most stable of them.

---

Model A:
This record from Alexandria describes crystalline LaHfAs3 at its relaxed geometry. The functional is PBE-GGA.

Unit cell a=5.397 b=5.397 c=5.397 alpha=90.00 beta=90.00 gamma=90.00
Sites, in units of the cell vectors:
As 0.500 0.000 0.000
As 0.000 0.000 0.500
As 0.000 0.500 0.000
La 0.000 0.000 0.000
Hf 0.500 0.500 0.500

## Properties
- magnetization (μB/f.u.) = 0.000

---

Model B:
This record from Alexandria describes crystalline LaHfAs3 at its relaxed geometry. The functional is PBE-GGA.

Unit cell a=5.119 b=5.119 c=5.119 alpha=90.00 beta=90.00 gamma=90.00
Sites, in units of the cell vectors:
As 0.500 0.000 0.000
As 0.000 0.000 0.500
As 0.000 0.500 0.000
Hf 0.000 0.000 0.000
La 0.500 0.500 0.500

## Properties
- magnetization (μB/f.u.) = 0.000

---

Short version: model B is the most stable of them.

---

Model A:
This record from Alexandria describes crystalline La2Hf2As at its relaxed geometry. The functional is PBE-GGA.

Unit cell a=4.045 b=4.045 c=8.513 alpha=76.26 beta=76.26 gamma=90.00
Sites, in units of the cell vectors:
Hf 0.580 0.580 0.840
Hf 0.420 0.420 0.160
As 0.000 0.000 0.000
La 0.750 0.250 0.500
La 0.250 0.750 0.500

## Properties
- magnetization (μB/f.u.) = 0.000

---

Model B:
This record from Alexandria describes crystalline La2Hf2As at its relaxed geometry. The functional is PBE-GGA.

Unit cell a=7.117 b=7.117 c=5.318 alpha=90.00 beta=90.00 gamma=90.00
Sites, in units of the cell vectors:
Hf 0.151 0.349 0.000
Hf 0.849 0.651 0.000
Hf 0.651 0.151 0.000
Hf 0.349 0.849 0.000
La 0.657 0.843 0.500
La 0.843 0.343 0.500
La 0.157 0.657 0.500
La 0.343 0.157 0.500
As 0.000 0.000 0.000
As 0.500 0.500 0.000

## Properties
- magnetization (μB/f.u.) = 0.000

---

Short version: model B is the most stable of them.

---

Model A:
This record from Alexandria describes crystalline LaHfAs2Se at its relaxed geometry. The functional is PBE-GGA.

Unit cell a=5.485 b=5.485 c=5.487 alpha=90.00 beta=90.00 gamma=90.00
Sites, in units of the cell vectors:
As 0.000 0.500 0.000
As 0.500 0.000 0.000
La 0.000 0.000 0.000
Se 0.000 0.000 0.500
Hf 0.500 0.500 0.500

## Properties
- magnetization (μB/f.u.) = 0.001

---

Model B:
This record from Alexandria describes crystalline LaHfAs2Se at its relaxed geometry. The functional is PBE-GGA.

Unit cell a=5.109 b=5.109 c=5.170 alpha=90.00 beta=90.00 gamma=90.00
Sites, in units of the cell vectors:
As 0.000 0.500 0.000
As 0.500 0.000 0.000
La 0.500 0.500 0.500
Se 0.000 0.000 0.500
Hf 0.000 0.000 0.000

## Properties
- magnetization (μB/f.u.) = 0.000

---

Short version: model B is the most stable of them.

---

Model A:
This record from Alexandria describes crystalline Li3HfAs at its relaxed geometry. The functional is PBE-GGA.

Unit cell a=5.110 b=5.110 c=5.110 alpha=90.00 beta=90.00 gamma=90.00
Each line ends with the local moment (μB).
Sites, in units of the cell vectors:
Li 0.000 0.500 0.000  0.05
Li 0.000 0.000 0.500  0.04
Li 0.500 0.000 0.000  0.06
Hf 0.000 0.000 0.000  1.47
As 0.500 0.500 0.500  -0.16

## Properties
- magnetization (μB/f.u.) = 2.197

---

Model B:
This record from Alexandria describes crystalline Li3HfAs at its relaxed geometry. The functional is PBE-GGA.

Unit cell a=4.543 b=4.543 c=4.543 alpha=90.00 beta=90.00 gamma=90.00
Sites, in units of the cell vectors:
As 0.000 0.000 0.000
Li 0.000 0.000 0.500
Li 0.500 0.000 0.000
Li 0.000 0.500 0.000
Hf 0.500 0.500 0.500

## Properties
- magnetization (μB/f.u.) = 0.000

---

Short version: model B is the most stable of them.

---

Model A:
This record from Alexandria describes crystalline LiHfAs2Se at its relaxed geometry. The functional is PBE-GGA.

Unit cell a=4.353 b=4.353 c=5.050 alpha=90.00 beta=90.00 gamma=90.00
Sites, in units of the cell vectors:
As 0.500 0.000 0.000
As 0.000 0.500 0.000
Li 0.000 0.000 0.000
Hf 0.500 0.500 0.500
Se 0.000 0.000 0.500

## Properties
- magnetization (μB/f.u.) = 0.000

---

Model B:
This record from Alexandria describes crystalline LiHfAs2Se at its relaxed geometry. The functional is PBE-GGA.

Unit cell a=5.174 b=5.174 c=5.205 alpha=90.00 beta=90.00 gamma=90.00
Sites, in units of the cell vectors:
As 0.500 0.000 0.000
As 0.000 0.500 0.000
Hf 0.000 0.000 0.000
Li 0.500 0.500 0.500
Se 0.000 0.000 0.500

## Properties
- magnetization (μB/f.u.) = 0.000

---

Short version: model B is the most stable of them.

---

Model A:
This record from Alexandria describes crystalline HfMgAs3 at its relaxed geometry. The functional is PBE-GGA.

Unit cell a=5.135 b=5.135 c=5.135 alpha=90.00 beta=90.00 gamma=90.00
Sites, in units of the cell vectors:
Hf 0.000 0.000 0.000
As 0.000 0.000 0.500
As 0.500 0.000 0.000
As 0.000 0.500 0.000
Mg 0.500 0.500 0.500

## Properties
- magnetization (μB/f.u.) = 0.000

---

Model B:
This record from Alexandria describes crystalline HfMgAs3 at its relaxed geometry. The functional is PBE-GGA.

Unit cell a=4.842 b=4.842 c=4.842 alpha=90.00 beta=90.00 gamma=90.00
Sites, in units of the cell vectors:
As 0.000 0.000 0.500
As 0.500 0.000 0.000
As 0.000 0.500 0.000
Hf 0.500 0.500 0.500
Mg 0.000 0.000 0.000

## Properties
- magnetization (μB/f.u.) = 0.000

---

Short version: model A is the most stable of them.

---

Model A:
This record from Alexandria describes crystalline NaHf2MgAs at its relaxed geometry. The functional is PBE-GGA.

Unit cell a=5.086 b=5.040 c=5.086 alpha=90.00 beta=90.00 gamma=90.00
Sites, in units of the cell vectors:
Hf 0.000 0.000 0.500
Hf 0.500 0.000 0.000
As 0.000 0.000 0.000
Mg 0.000 0.500 0.000
Na 0.500 0.500 0.500

## Properties
- magnetization (μB/f.u.) = 0.000

---

Model B:
This record from Alexandria describes crystalline NaHf2MgAs at its relaxed geometry. The functional is PBE-GGA.

Unit cell a=5.208 b=4.916 c=5.208 alpha=90.00 beta=90.00 gamma=90.00
Sites, in units of the cell vectors:
Hf 0.500 0.000 0.000
Hf 0.000 0.000 0.500
Na 0.500 0.500 0.500
Mg 0.000 0.000 0.000
As 0.000 0.500 0.000

## Properties
- magnetization (μB/f.u.) = 0.000

---

Short version: model A is the most stable of them.

---

Model A:
This record from Alexandria describes crystalline Hf3MnAs at its relaxed geometry. The functional is PBE-GGA.

Unit cell a=4.877 b=4.877 c=4.877 alpha=90.00 beta=90.00 gamma=90.00
Each line ends with the local moment (μB).
Sites, in units of the cell vectors:
Mn 0.500 0.500 0.500  0.17
Hf 0.000 0.500 0.000  -0.01
Hf 0.000 0.000 0.500  -0.05
Hf 0.500 0.000 0.000  0.00
As 0.000 0.000 0.000  0.00

## Properties
- magnetization (μB/f.u.) = 0.106

---

Model B:
This record from Alexandria describes crystalline Hf3MnAs at its relaxed geometry. The functional is PBE-GGA.

Unit cell a=4.746 b=4.746 c=4.746 alpha=90.00 beta=90.00 gamma=90.00
Sites, in units of the cell vectors:
Hf 0.000 0.000 0.500
Hf 0.500 0.000 0.000
Hf 0.000 0.500 0.000
Mn 0.000 0.000 0.000
As 0.500 0.500 0.500

## Properties
- magnetization (μB/f.u.) = 0.000

---

Short version: model B is the most stable of them.

---

Model A:
This record from Alexandria describes crystalline HfMnAs2 at its relaxed geometry. The functional is PBE-GGA.

Unit cell a=4.575 b=4.575 c=4.575 alpha=60.00 beta=60.00 gamma=60.00
Each line ends with the local moment (μB).
Sites, in units of the cell vectors:
As 0.250 0.250 0.250  -0.08
As 0.750 0.750 0.750  -0.08
Mn 0.000 0.000 0.000  2.98
Hf 0.500 0.500 0.500  -0.10

## Properties
- magnetization (μB/f.u.) = 2.693

---

Model B:
This record from Alexandria describes crystalline HfMnAs2 at its relaxed geometry. The functional is PBE-GGA.

Unit cell a=5.235 b=5.235 c=7.407 alpha=69.31 beta=69.31 gamma=90.00
Sites, in units of the cell vectors:
As 0.375 0.435 0.750
As 0.185 0.625 0.250
As 0.565 0.125 0.250
As 0.875 0.815 0.750
Mn 0.500 0.500 0.000
Mn 0.250 0.750 0.500
Hf 0.000 0.000 0.000
Hf 0.750 0.250 0.500

## Properties
- magnetization (μB/f.u.) = 0.000

---

Model C:
This record from Alexandria describes crystalline HfMnAs2 at its relaxed geometry. The functional is PBE-GGA.

Unit cell a=3.824 b=3.824 c=6.503 alpha=72.90 beta=72.90 gamma=60.00
Each line ends with the local moment (μB).
Sites, in units of the cell vectors:
As 0.746 0.746 0.761  0.01
As 0.254 0.254 0.239  0.01
Hf 0.500 0.500 0.500  0.14
Mn 0.000 0.000 0.000  3.89

## Properties
- magnetization (μB/f.u.) = 4.311

---

Short version: model C is the most stable of them.

---

Model A:
This record from Alexandria describes crystalline HfMnAs2Se at its relaxed geometry. The functional is PBE-GGA.

Unit cell a=4.624 b=4.624 c=4.832 alpha=90.00 beta=90.00 gamma=90.00
Each line ends with the local moment (μB).
Sites, in units of the cell vectors:
Mn 0.000 0.000 0.000  2.74
Se 0.000 0.000 0.500  -0.01
As 0.500 0.000 0.000  -0.04
As 0.000 0.500 0.000  -0.04
Hf 0.500 0.500 0.500  0.29

## Properties
- magnetization (μB/f.u.) = 3.188

---

Model B:
This record from Alexandria describes crystalline HfMnAs2Se at its relaxed geometry. The functional is PBE-GGA.

Unit cell a=5.164 b=5.164 c=5.091 alpha=90.00 beta=90.00 gamma=90.00
Each line ends with the local moment (μB).
Sites, in units of the cell vectors:
As 0.500 0.000 0.000  -0.10
As 0.000 0.500 0.000  -0.10
Se 0.000 0.000 0.500  -0.02
Hf 0.000 0.000 0.000  0.04
Mn 0.500 0.500 0.500  4.48

## Properties
- magnetization (μB/f.u.) = 4.570

---

Short version: model A is the most stable of them.

---

Model A:
This record from Alexandria describes crystalline HfMnAsSe2 at its relaxed geometry. The functional is PBE-GGA.

Unit cell a=4.711 b=4.711 c=4.737 alpha=90.00 beta=90.00 gamma=90.00
Each line ends with the local moment (μB).
Sites, in units of the cell vectors:
Se 0.000 0.500 0.000  0.00
Se 0.500 0.000 0.000  0.00
As 0.000 0.000 0.500  -0.04
Hf 0.500 0.500 0.500  0.21
Mn 0.000 0.000 0.000  2.92

## Properties
- magnetization (μB/f.u.) = 3.328

---

Model B:
This record from Alexandria describes crystalline HfMnAsSe2 at its relaxed geometry. The functional is PBE-GGA.

Unit cell a=5.122 b=5.122 c=5.208 alpha=90.00 beta=90.00 gamma=90.00
Each line ends with the local moment (μB).
Sites, in units of the cell vectors:
Se 0.500 0.000 0.000  0.02
Se 0.000 0.500 0.000  0.02
As 0.000 0.000 0.500  -0.06
Hf 0.000 0.000 0.000  0.04
Mn 0.500 0.500 0.500  4.53

## Properties
- magnetization (μB/f.u.) = 5.033

---

Short version: model B is the most stable of them.